Density functional theory data (PBE-GGA) for crystalline Mg2SiHg at its relaxed geometry.

Properties
The formation energy (no corrections) is 0.19 eV/atom. The value obtained for the calculated total energy is -2.041 eV per atom.

Unit cell a=4.8868 b=4.8868 c=4.8868 alpha=60.00 beta=60.00 gamma=60.00
Fractional positions:
Mg: 0.0000 0.0000 0.0000
Mg: 0.2500 0.2500 0.2500
Si: 0.5000 0.5000 0.5000
Hg: 0.7500 0.7500 0.7500